Record 1
Entry from the Open Quantum Materials Database: crystalline PrSmSi2Os at its relaxed geometry (PBE).

Computed properties:
Its uncorrected energy is -7.01 eV/atom.

abc: 5.940 5.940 10.369
angles: 117.68 117.68 42.23
Sites, in units of the cell vectors:
Pr  0.188  0.188  0.607
Pr  0.812  0.812  0.393
Sm  0.008  0.008  0.177
Sm  0.992  0.992  0.823
Si  0.505  0.505  0.630
Si  0.346  0.346  0.937
Si  0.495  0.495  0.370
Si  0.654  0.654  0.063
Os  0.727  0.727  0.877
Os  0.273  0.273  0.123

Record 2
Entry from the Open Quantum Materials Database: crystalline ScSiHg at its relaxed geometry (PBE).

Computed properties:
Its uncorrected energy is -4.04 eV/atom.

abc: 4.605 4.605 4.605
angles: 60.00 60.00 60.00
Sites, in units of the cell vectors:
Sc  0.000  0.000  0.000
Hg  0.250  0.250  0.250
Si  0.750  0.750  0.750